No. 1
Th2Co3B: optimized geometry, PBE.

POSCAR file:
```
Th2Co3B
1.0
0.000 3.937 6.620
3.881 0.000 6.620
3.881 3.937 0.000
Th Co B
4 6 2
Direct
0.248 0.752 0.248
0.250 0.250 0.250
0.750 0.750 0.750
0.752 0.248 0.752
0.133 0.683 0.867
0.317 0.867 0.683
0.319 0.319 0.681
0.681 0.681 0.319
0.683 0.133 0.317
0.867 0.317 0.133
0.167 0.167 0.833
0.833 0.833 0.167
```

Its volume is 202.3 Å³ per cell. As for the calculated formation energy: -0.3113 eV per atom.

No. 2
ThCo4B2: optimized geometry, PBE.

POSCAR file:
```
ThCo4B2
1.0
3.598 0.000 0.000
0.000 13.034 0.000
0.000 0.000 3.570
Th Co B
2 8 4
Direct
0.000 0.000 0.000
0.500 0.500 0.000
0.000 0.184 0.500
0.000 0.314 0.000
0.000 0.686 0.000
0.000 0.816 0.500
0.500 0.186 0.000
0.500 0.316 0.500
0.500 0.684 0.500
0.500 0.814 0.000
0.000 0.388 0.500
0.000 0.612 0.500
0.500 0.112 0.500
0.500 0.888 0.500
```

Its volume is 167.4 Å³ per cell. As for the calculated formation energy: -0.3092 eV per atom.

No. 3
Th2Co6B: optimized geometry, PBE.

POSCAR file:
```
Th2Co6B
1.0
5.570 0.000 0.000
-2.785 4.824 0.000
0.000 0.000 4.703
Th Co B
2 6 1
Direct
0.333 0.667 0.263
0.667 0.333 0.737
0.158 0.316 0.768
0.158 0.842 0.768
0.316 0.158 0.232
0.684 0.842 0.768
0.842 0.158 0.232
0.842 0.684 0.232
0.000 0.000 0.500
```

Its volume is 126.4 Å³ per cell. As for the calculated formation energy: -0.2040 eV per atom.

No. 4
Th2Co6B3: optimized geometry, PBE.

POSCAR file:
```
Th2Co6B3
1.0
6.678 0.000 0.000
-3.339 5.783 0.000
0.000 0.000 3.739
Th Co B
2 6 3
Direct
0.333 0.667 0.000
0.667 0.333 0.000
0.000 0.255 0.500
0.000 0.790 0.000
0.210 0.210 0.000
0.255 0.000 0.500
0.745 0.745 0.500
0.790 0.000 0.000
0.000 0.649 0.500
0.351 0.351 0.500
0.649 0.000 0.500
```

Its volume is 144.4 Å³ per cell. As for the calculated formation energy: -0.2109 eV per atom.

No. 5
ThCo5B2: optimized geometry, PBE.

POSCAR file:
```
ThCo5B2
1.0
3.489 0.000 0.000
0.000 6.124 0.000
0.000 0.000 8.596
Th Co B
2 10 4
Direct
0.000 0.000 0.000
0.500 0.500 0.500
0.000 0.191 0.343
0.000 0.191 0.657
0.000 0.500 0.000
0.000 0.809 0.343
0.000 0.809 0.657
0.500 0.000 0.500
0.500 0.309 0.157
0.500 0.309 0.843
0.500 0.691 0.157
0.500 0.691 0.843
0.000 0.500 0.231
0.000 0.500 0.769
0.500 0.000 0.269
0.500 0.000 0.731
```

Its volume is 183.7 Å³ per cell. As for the calculated formation energy: -0.2893 eV per atom.

No. 6
ThCo2B2: optimized geometry, PBE.

POSCAR file:
```
ThCo2B2
1.0
9.973 0.000 0.000
0.000 3.297 0.000
-1.011 0.000 3.851
Th Co B
2 4 4
Direct
0.000 0.000 0.000
0.500 0.500 0.000
0.172 0.500 0.600
0.328 0.000 0.400
0.672 0.000 0.600
0.828 0.500 0.400
0.238 0.500 0.135
0.262 0.000 0.865
0.738 0.000 0.135
0.762 0.500 0.865
```

Its volume is 126.6 Å³ per cell. As for the calculated formation energy: -0.3858 eV per atom.

No. 7
ThCo12B6: optimized geometry, PBE.

POSCAR file:
```
ThCo12B6
1.0
4.716 2.723 2.471
-4.716 2.723 2.471
0.000 -5.445 2.471
Th Co B
1 12 6
Direct
0.000 0.000 0.000
0.134 0.500 0.866
0.134 0.866 0.500
0.186 0.457 0.457
0.457 0.186 0.457
0.457 0.457 0.186
0.500 0.134 0.866
0.500 0.866 0.134
0.543 0.543 0.814
0.543 0.814 0.543
0.814 0.543 0.543
0.866 0.134 0.500
0.866 0.500 0.134
0.231 0.231 0.672
0.231 0.672 0.231
0.328 0.769 0.769
0.672 0.231 0.231
0.769 0.328 0.769
0.769 0.769 0.328
```

Its volume is 190.4 Å³ per cell. As for the calculated formation energy: -0.3754 eV per atom.

No. 8
Th2Co2B3: optimized geometry, PBE.

POSCAR file:
```
Th2Co2B3
1.0
10.310 0.000 0.000
0.000 3.841 0.000
-2.264 0.000 5.100
Th Co B
4 4 6
Direct
0.117 0.000 0.287
0.383 0.500 0.713
0.617 0.500 0.287
0.883 0.000 0.713
0.192 0.000 0.846
0.308 0.500 0.154
0.692 0.500 0.846
0.808 0.000 0.154
0.000 0.500 0.500
0.111 0.500 0.821
0.389 0.000 0.179
0.500 0.000 0.500
0.611 0.000 0.821
0.889 0.500 0.179
```

Its volume is 202.0 Å³ per cell. As for the calculated formation energy: -0.2215 eV per atom.

- What is the volume in the seventh record?
  190.4 Å³ per cell